1.
A geometry-optimized PmNiH structure. Source: the Alexandria database, functional PBE.

a = 3.5830 Å, b = 3.5830 Å, c = 4.7513 Å
α = 112.15°, β = 112.15°, γ = 90.00°
Positions (direct):
Ni1 0.2326 0.2326 0.4652
H1 0.0331 0.0331 0.0661
Pm1 0.5844 0.5844 0.1687

## Properties
**Space group**: No. 107
**E above lowest polymorph**: 276.4 meV per atom



2.
A geometry-optimized ScSiPb2 structure. Source: the Alexandria database, functional PBE.

a = 5.2252 Å, b = 5.2252 Å, c = 5.2252 Å
α = 60.00°, β = 60.00°, γ = 60.00°
Positions (direct):
Sc1 0.5000 0.5000 0.5000
Pb1 0.2500 0.2500 0.2500
Pb2 0.0000 0.0000 0.0000
Si1 0.7500 0.7500 0.7500

## Properties
**Space group**: No. 216
**Raw formation energy**: 0.759 eV/f.u.



Which VASP energy belongs to each record? In order, -4.763; -4.603 eV/atom.